An optimized crystal structure of SrPrP2Pt4, computed with PBE.

Summary:
The calculation puts the total energy at -0.2210 Ha/atom. The value obtained for the density of states at the Fermi level is 0.6706 states/eV/atom. Its space group is P4/mmm.

Cell and atoms, written as POSCAR:
```
SrPrP2Pt4
1.0
4.1071 0.0000 0.0000
0.0000 4.1071 0.0000
0.0000 0.0000 10.1608
Sr Pr P Pt
1 1 2 4
direct
0.0000 0.0000 0.0000 Sr
0.0000 0.0000 0.5000 Pr
0.5000 0.5000 0.1612 P
0.5000 0.5000 0.8388 P
0.0000 0.5000 0.2761 Pt
0.0000 0.5000 0.7239 Pt
0.5000 0.0000 0.2761 Pt
0.5000 0.0000 0.7239 Pt
```